# HfTiP2, optimized geometry, DFT PBE
data_HfTiP2
_cell_length_a 6.324
_cell_length_b 6.324
_cell_length_c 6.324
_cell_angle_alpha 90.00
_cell_angle_beta 90.00
_cell_angle_gamma 90.00
_space_group_name_H-M_alt 'F m -3 m'
_space_group_IT_number 225
_space_group_name_Hall '-F 4 2 3'
loop_
_atom_site_label
_atom_site_type_symbol
_atom_site_fract_x
_atom_site_fract_y
_atom_site_fract_z
Hf1 Hf 0.000 0.000 0.000
Ti1 Ti 0.000 0.000 0.500
P1 P 0.250 0.250 0.250
# Energy of formation: -0.756 eV per atom
# Energy relative to the lowest polymorph listed for this composition: 1.73 eV per formula unit
# V: 252.9 Å³ per cell